DFT (PBE) results for an optimized crystal structure of In2BBr.

The energy relative to the elements, uncorrected is 18.9 kJ/mol of formula units. For the total energy, the calculation gives -13.6 eV/f.u. The calculation puts the density of states at the Fermi level at 0.000 states/eV/cell. The energy above the most stable polymorph in this dataset is 0.000 eV/atom.

The structure belongs to space group I-42d (No. 122); the cell edges are 6.173, 6.173 and 11.329 Å and the angles 90.00°, 90.00° and 90.00°. The distinct sites, in fractional coordinates, are In at (0.124, 0.250, 0.125), B at (0.000, 0.000, 0.000) and Br at (0.000, 0.000, 0.500).

***

DFT (PBE) results for an optimized crystal structure of InBBr.

The energy relative to the elements, uncorrected is 42.5 kJ/mol of formula units. For the total energy, the calculation gives -10.6 eV/f.u.

The structure belongs to space group P2_1/c (No. 14); the cell edges are 10.142, 4.196 and 7.252 Å and the angles 90.00°, 94.83° and 90.00°. The distinct sites, in fractional coordinates, are In at (0.132, 0.083, 0.166), B at (0.042, 0.625, 0.053) and Br at (0.323, 0.155, 0.872).

***

DFT (PBE) results for an optimized crystal structure of InBBr3.

The energy relative to the elements, uncorrected is 277.0 kJ/mol of formula units. For the total energy, the calculation gives -11.6 eV/f.u. The calculation puts the density of states at the Fermi level at 3.895 states/eV/cell. The energy above the most stable polymorph in this dataset is 0.407 eV/atom.

The structure belongs to space group Pm-3m (No. 221); the cell edges are 5.544, 5.544 and 5.544 Å and the angles 90.00°, 90.00° and 90.00°. The distinct sites, in fractional coordinates, are In at (0.000, 0.000, 0.000), B at (0.500, 0.500, 0.500) and Br at (0.000, 0.000, 0.500).

***

DFT (PBE) results for an optimized crystal structure of InB2Br.

The energy relative to the elements, uncorrected is 488.0 kJ/mol of formula units. For the total energy, the calculation gives -12.7 eV/f.u. The calculation puts the density of states at the Fermi level at 0.000 states/eV/cell. The energy above the most stable polymorph in this dataset is 0.000 eV/atom.

The structure belongs to space group I-42d (No. 122); the cell edges are 5.361, 5.361 and 10.771 Å and the angles 90.00°, 90.00° and 90.00°. The distinct sites, in fractional coordinates, are In at (0.000, 0.000, 0.000), B at (0.240, 0.250, 0.125) and Br at (0.000, 0.000, 0.500).

***

DFT (PBE) results for an optimized crystal structure of InB2Br.

The energy relative to the elements, uncorrected is 717.5 kJ/mol of formula units. For the total energy, the calculation gives -10.3 eV/f.u. The calculation puts the density of states at the Fermi level at 10.555 states/eV/cell. The energy above the most stable polymorph in this dataset is 0.595 eV/atom.

The structure belongs to space group Fm-3m (No. 225); the cell edges are 6.514, 6.514 and 6.514 Å and the angles 90.00°, 90.00° and 90.00°. The distinct sites, in fractional coordinates, are In at (0.000, 0.000, 0.000), B at (0.250, 0.250, 0.250) and Br at (0.000, 0.000, 0.500).

***

DFT (PBE) results for an optimized crystal structure of InBBr3.

The energy relative to the elements, uncorrected is 80.7 kJ/mol of formula units. For the total energy, the calculation gives -13.6 eV/f.u. The calculation puts the density of states at the Fermi level at 2.756 states/eV/cell. The energy above the most stable polymorph in this dataset is 0.000 eV/atom.

The structure belongs to space group Pm-3m (No. 221); the cell edges are 4.939, 4.939 and 4.939 Å and the angles 90.00°, 90.00° and 90.00°. The distinct sites, in fractional coordinates, are In at (0.000, 0.000, 0.000), B at (0.500, 0.500, 0.500) and Br at (0.000, 0.500, 0.500).

***

Mass density, record by record: 4.929 4.439 3.560 4.642 5.198 5.035 Mg/m³